# 1
TaAg2Se | PBE | relaxed

Output
DOS(E_F)   0.838 states/eV/atom
Formation energy from raw total energies   41.9 kJ/mol of atoms

Cell: 7.736 7.736 5.209 Å, 90.00 90.00 90.00°
Space group I-42d (No. 122)
Symmetry-distinct sites (fractional):
Ta  0.000  0.000  0.000 [4 per cell]
Ag  0.238  0.750  0.625 [8 per cell]
Se  0.000  0.000  0.500 [4 per cell]



# 2
AcNpNiS4 | PBE | relaxed

Output
DOS(E_F)   1.309 states/eV/atom
Formation energy from raw total energies   -132.7 kJ/mol of atoms

Cell: 6.473 5.881 8.138 Å, 90.00 107.30 90.00°
Space group P2_1/m (No. 11)
Symmetry-distinct sites (fractional):
Ac  0.239  0.250  0.434 [2 per cell]
Np  0.255  0.250  0.943 [2 per cell]
Ni  0.268  0.750  0.177 [2 per cell]
S  0.072  0.750  0.908 [2 per cell]
S  0.073  0.750  0.366 [2 per cell]
S  0.481  0.512  0.766 [4 per cell]



# 3
NaMgNb2 | PBE | relaxed

Output
Formation enthalpy at 0 K   1062 meV per atom
DOS(E_F)   0.835 states/eV/atom

Cell: 8.021 8.021 5.206 Å, 90.00 90.00 90.00°
Space group I-42d (No. 122)
Symmetry-distinct sites (fractional):
Na  0.000  0.000  0.000 [4 per cell]
Mg  0.000  0.000  0.500 [4 per cell]
Nb  0.247  0.250  0.625 [8 per cell]



# 4
KIn2Ni | PBE | relaxed

Output
Formation enthalpy at 0 K   125 meV per atom
DOS(E_F)   0.672 states/eV/atom

Cell: 6.361 6.361 14.843 Å, 90.00 90.00 90.00°
Space group I-42d (No. 122)
Symmetry-distinct sites (fractional):
K  0.000  0.000  0.000 [4 per cell]
In  0.001  0.250  0.625 [8 per cell]
Ni  0.000  0.000  0.500 [4 per cell]



# 5
Pm2GePb | PBE | relaxed

Output
Formation enthalpy at 0 K   -556 meV per atom
DOS(E_F)   0.654 states/eV/atom

Cell: 4.9373 4.9373 16.4221 Å, 90.00 90.00 120.00°
Space group R-3m (No. 166, hexagonal axes)
Symmetry-distinct sites (fractional):
Pm  0.0000  0.0000  0.2414 [6 per cell]
Ge  0.0000  0.0000  0.5000 [3 per cell]
Pb  0.0000  0.0000  0.0000 [3 per cell]



# 6
LiTaIrRh | PBE | relaxed

Output
Formation enthalpy at 0 K   -583 meV per atom
DOS(E_F)   0.391 states/eV/atom

Cell: 6.149 6.149 6.149 Å, 90.00 90.00 90.00°
Space group F-43m (No. 216)
Symmetry-distinct sites (fractional):
Li  0.000  0.000  0.000 [4 per cell]
Ta  0.000  0.000  0.500 [4 per cell]
Ir  0.250  0.250  0.250 [4 per cell]
Rh  0.250  0.250  0.750 [4 per cell]



# 7
DyLuMgSn | PBE | relaxed

Output
Formation enthalpy at 0 K   -357 meV per atom
DOS(E_F)   0.996 states/eV/atom

Cell: 7.426 7.426 7.426 Å, 90.00 90.00 90.00°
Space group F-43m (No. 216)
Symmetry-distinct sites (fractional):
Dy  0.000  0.000  0.000 [4 per cell]
Lu  0.000  0.000  0.500 [4 per cell]
Mg  0.250  0.250  0.750 [4 per cell]
Sn  0.250  0.250  0.250 [4 per cell]



# 8
CsSrMn2Nb | PBE | relaxed

Output
Formation enthalpy at 0 K   3007 meV per atom
DOS(E_F)   2.752 states/eV/atom

Cell: 4.792 4.792 5.630 Å, 90.00 90.00 90.00°
Space group P4/mmm (No. 123)
Symmetry-distinct sites (fractional):
Cs  0.000  0.000  0.000 [1 per cell]
Sr  0.000  0.000  0.500 [1 per cell]
Mn  0.000  0.500  0.500 [2 per cell]
Nb  0.500  0.500  0.000 [1 per cell]